{"formula": "NbVPtBr2", "functional": "PBE", "state": "optimized geometry", "total_energy_ev_per_atom": -4.304, "raw_formation_energy_ev_per_atom": 1.4110, "n_ef_per_ev_fu": 10.177, "density_g_cm3": 6.4, "cell": [[5.0317, 0.0000, 0.0000], [0.0000, 5.1066, 0.0000], [0.0000, 0.0000, 5.0317]], "species": ["Nb", "Br", "Br", "Pt", "V"], "fractional_positions": [[0.0000, 0.5000, 0.0000], [0.0000, 0.0000, 0.5000], [0.5000, 0.0000, 0.0000], [0.0000, 0.0000, 0.0000], [0.5000, 0.5000, 0.5000]]}